(1)
Here is a relaxed PmTm5TlIn2 crystal from the Alexandria database. Energies are from PBE.

a b c (Å): 8.490 8.490 14.133
angles (deg): 90.00 90.00 90.00
Space group I4/mcm (No. 140)
One atom of each set of equivalent atoms:
Pm  0.000  0.500  0.250
Tm  0.000  0.000  0.000
Tm  0.210  0.290  0.134
Tl  0.000  0.000  0.250
In  0.111  0.389  0.500

Energy relative to the elements   -18 meV/atom
Calculated total energy   -140.47 eV for the cell shown
N(E_F)   8.49 states/eV/f.u.

=====

(2)
Here is a relaxed PmTlZnIn crystal from the Alexandria database. Energies are from PBE.

a b c (Å): 7.388 7.388 7.388
angles (deg): 90.00 90.00 90.00
Space group F-43m (No. 216)
One atom of each set of equivalent atoms:
Pm  0.000  0.000  0.000
Tl  0.250  0.250  0.250
Zn  0.250  0.250  0.750
In  0.000  0.000  0.500

Energy relative to the elements   -144 meV/atom
Calculated total energy   -46.82 eV for the cell shown
N(E_F)   4.71 states/eV/f.u.

=====

(3)
Here is a relaxed PmZrTlIn crystal from the Alexandria database. Energies are from PBE.

a b c (Å): 7.434 7.434 7.434
angles (deg): 90.00 90.00 90.00
Space group F-43m (No. 216)
One atom of each set of equivalent atoms:
Pm  0.000  0.000  0.000
Zr  0.000  0.000  0.500
Tl  0.250  0.250  0.750
In  0.250  0.250  0.250

Energy relative to the elements   -187 meV/atom
Calculated total energy   -76.61 eV for the cell shown
N(E_F)   3.98 states/eV/f.u.

=====

(4)
Here is a relaxed Pm3TmIn3 crystal from the Alexandria database. Energies are from PBE.

a b c (Å): 9.455 9.455 9.455
angles (deg): 90.00 90.00 90.00
Space group P2_13 (No. 198)
One atom of each set of equivalent atoms:
Pm  0.068  0.432  0.568
Pm  0.167  0.833  0.333
Pm  0.179  0.179  0.179
Tm  0.078  0.578  0.922
In  0.008  0.256  0.867

Energy relative to the elements   -322 meV/atom
Calculated total energy   -116.78 eV for the cell shown
N(E_F)   7.91 states/eV/f.u.

=====

(5)
Here is a relaxed Pm4Tm3In2 crystal from the Alexandria database. Energies are from PBE.

a b c (Å): 5.361 6.729 8.548
angles (deg): 103.23 90.08 113.46
Space group P-1 (No. 2)
One atom of each set of equivalent atoms:
Pm  0.115  0.230  0.157
Pm  0.332  0.663  0.534
Tm  0.000  0.000  0.500
Tm  0.420  0.840  0.145
In  0.205  0.412  0.817

Energy relative to the elements   -181 meV/atom
Calculated total energy   -39.52 eV for the cell shown
N(E_F)   9.19 states/eV/f.u.

=====

(6)
Here is a relaxed PmTm4In crystal from the Alexandria database. Energies are from PBE.

a b c (Å): 3.547 3.547 14.089
angles (deg): 90.00 90.00 90.00
Space group P4/mmm (No. 123)
One atom of each set of equivalent atoms:
Pm  0.000  0.000  0.000
Tm  0.000  0.000  0.353
Tm  0.500  0.500  0.180
In  0.500  0.500  0.500

Energy relative to the elements   -146 meV/atom
Calculated total energy   -26.25 eV for the cell shown
N(E_F)   6.19 states/eV/f.u.